## Be2ReMo (PBE)

Data for an optimized crystal structure of Be2ReMo.

Summary:
excess energy over the best structure of this formula in the dataset	0.345	eV/atom
ΔE_f	0.104	eV per atom
electronic total energy	-60.63	eV/cell
magnetization	0.00	μB/f.u.

Cell: 5.2432 7.3511 2.6102 Å, 90.00 103.29 90.00°
Last column: nearest neighbours and their distance in Å.
Space group C2/m (No. 12)
One atom of each set of equivalent atoms:
Be (0.2500, 0.2500, 0.0000) (multiplicity 4)  2 Mo 2.45, 2 Re 2.45, 4 Be 2.61-2.62
Re (0.0000, 0.0000, 0.5000) (multiplicity 2)  4 Be 2.45, 2 Re 2.61, 2 Mo 2.62
Mo (0.0000, 0.5000, 0.5000) (multiplicity 2)  4 Be 2.45, 2 Mo 2.61, 2 Re 2.62